(w)
Density functional theory data (PBE) for CaAcGaPt after structural relaxation.

```
16
Lattice="7.470 0.000 0.000 0.000 7.470 0.000 0.000 0.000 7.470" Properties=species:S:1:pos:R:3 pbc="T T T"
Ca 0.000 0.000 0.000
Ca 0.000 3.735 3.735
Ca 3.735 0.000 3.735
Ca 3.735 3.735 0.000
Ac 0.000 0.000 3.735
Ac 0.000 3.735 0.000
Ac 3.735 0.000 0.000
Ac 3.735 3.735 3.735
Ga 1.867 1.867 5.602
Ga 1.867 5.602 1.867
Ga 5.602 1.867 1.867
Ga 5.602 5.602 5.602
Pt 1.867 1.867 1.867
Pt 1.867 5.602 5.602
Pt 5.602 1.867 5.602
Pt 5.602 5.602 1.867
```

Values from the calculation:
The total magnetization is 0.00 μB per formula unit. The calculated density is 8.48 g/cm³.

(x)
Density functional theory data (PBE) for CaAcGaPt after structural relaxation.

```
8
Lattice="4.280 0.000 0.000 0.000 4.339 0.000 0.000 0.000 11.790" Properties=species:S:1:pos:R:3 pbc="T T T"
Ca 0.000 0.000 0.000
Ca 0.000 2.169 5.895
Ac 2.140 0.000 8.450
Ac 2.140 2.169 2.555
Ga 2.140 0.000 5.081
Ga 2.140 2.169 10.975
Pt 0.000 0.000 3.458
Pt 0.000 2.169 9.353
```

Values from the calculation:
The total magnetization is 0.00 μB per formula unit. The calculated density is 8.07 g/cm³.

Q: Which of them is the most stable? A: (x).

(w)
Density functional theory data (PBE) for CaAcGaRh after structural relaxation.

```
8
Lattice="4.109 0.000 0.000 0.000 4.337 0.000 0.000 0.000 11.909" Properties=species:S:1:pos:R:3 pbc="T T T"
Ca 0.000 0.000 0.000
Ca 0.000 2.168 5.954
Ac 2.054 0.000 3.334
Ac 2.054 2.168 9.289
Ga 2.054 0.000 6.847
Ga 2.054 2.168 0.893
Rh 0.000 0.000 8.498
Rh 0.000 2.168 2.543
```

Values from the calculation:
The total magnetization is 0.00 μB per formula unit. The calculated density is 6.88 g/cm³.

(x)
Density functional theory data (PBE) for CaAcGaRh after structural relaxation.

```
16
Lattice="7.391 0.000 0.000 0.000 7.391 0.000 0.000 0.000 7.391" Properties=species:S:1:pos:R:3 pbc="T T T"
Ca 0.000 0.000 0.000
Ca 0.000 3.695 3.695
Ca 3.695 0.000 3.695
Ca 3.695 3.695 0.000
Ac 0.000 0.000 3.695
Ac 0.000 3.695 0.000
Ac 3.695 0.000 0.000
Ac 3.695 3.695 3.695
Ga 1.848 1.848 1.848
Ga 1.848 5.543 5.543
Ga 5.543 1.848 5.543
Ga 5.543 5.543 1.848
Rh 1.848 1.848 5.543
Rh 1.848 5.543 1.848
Rh 5.543 1.848 1.848
Rh 5.543 5.543 5.543
```

Values from the calculation:
The total magnetization is 0.00 μB per formula unit. The calculated density is 7.23 g/cm³.

Q: Which of them is the most stable? A: (w).

(w)
Density functional theory data (PBE) for Ca2AcGe after structural relaxation.

```
4
Lattice="3.683 0.000 0.000 0.000 3.683 0.000 0.000 0.000 9.863" Properties=species:S:1:pos:R:3 pbc="T T T"
Ca 0.000 0.000 1.788
Ca 0.000 0.000 8.075
Ac 1.842 1.842 4.932
Ge 1.842 1.842 0.000
```

Values from the calculation:
The total magnetization is 0.00 μB per formula unit. The calculated density is 4.71 g/cm³.

(x)
Density functional theory data (PBE) for Ca2AcGe after structural relaxation.

```
4
Lattice="4.921 0.000 0.000 0.000 4.921 0.000 0.000 0.000 5.304" Properties=species:S:1:pos:R:3 pbc="T T T"
Ca 0.000 2.461 0.000
Ca 2.461 0.000 0.000
Ac 0.000 0.000 2.652
Ge 2.461 2.461 2.652
```

Values from the calculation:
The total magnetization is 0.00 μB per formula unit. The calculated density is 4.91 g/cm³.

Q: Which of them is the most stable? A: (w).

(w)
Density functional theory data (PBE) for Ca2AcGe after structural relaxation.

```
16
Lattice="4.534 0.000 0.000 0.000 12.781 0.000 0.000 0.000 9.409" Properties=species:S:1:pos:R:3 pbc="T T T"
Ca 0.000 1.926 0.589
Ca 0.000 1.926 4.115
Ca 0.000 10.855 5.294
Ca 0.000 10.855 8.820
Ca 2.267 4.464 5.294
Ca 2.267 4.464 8.820
Ca 2.267 8.316 0.589
Ca 2.267 8.316 4.115
Ac 0.000 5.619 2.352
Ac 0.000 7.162 7.057
Ac 2.267 0.772 7.057
Ac 2.267 12.009 2.352
Ge 0.000 3.219 7.057
Ge 0.000 9.561 2.352
Ge 2.267 3.171 2.352
Ge 2.267 9.610 7.057
```

Values from the calculation:
The total magnetization is 0.76 μB per formula unit. The calculated density is 4.63 g/cm³.

(x)
Density functional theory data (PBE) for Ca2AcGe after structural relaxation.

```
16
Lattice="8.035 0.000 0.000 0.000 8.035 0.000 0.000 0.000 8.035" Properties=species:S:1:pos:R:3 pbc="T T T"
Ca 2.009 2.009 2.009
Ca 2.009 2.009 6.027
Ca 2.009 6.027 2.009
Ca 2.009 6.027 6.027
Ca 6.027 2.009 2.009
Ca 6.027 2.009 6.027
Ca 6.027 6.027 2.009
Ca 6.027 6.027 6.027
Ac 0.000 0.000 0.000
Ac 0.000 4.018 4.018
Ac 4.018 0.000 4.018
Ac 4.018 4.018 0.000
Ge 0.000 0.000 4.018
Ge 0.000 4.018 0.000
Ge 4.018 0.000 0.000
Ge 4.018 4.018 4.018
```

Values from the calculation:
The total magnetization is 0.00 μB per formula unit. The calculated density is 4.86 g/cm³.

Q: Which of them is the most stable? A: (w).

(w)
Density functional theory data (PBE) for CaAcGeIr after structural relaxation.

```
12
Lattice="4.341 0.000 0.000 -2.171 3.760 0.000 0.000 0.000 23.221" Properties=species:S:1:pos:R:3 pbc="T T T"
Ca 0.000 0.000 0.000
Ca 0.000 2.506 15.481
Ca 2.171 1.253 7.740
Ac 0.000 0.000 19.357
Ac 0.000 2.506 11.617
Ac 2.171 1.253 3.876
Ge 0.000 0.000 13.754
Ge 0.000 2.506 6.014
Ge 2.171 1.253 21.494
Ir 0.000 0.000 5.687
Ir 0.000 2.506 21.168
Ir 2.171 1.253 13.427
```

Values from the calculation:
The total magnetization is 0.00 μB per formula unit. The calculated density is 6.99 g/cm³.

(x)
Density functional theory data (PBE) for CaAcGeIr after structural relaxation.

```
16
Lattice="7.372 0.000 0.000 0.000 7.372 0.000 0.000 0.000 7.372" Properties=species:S:1:pos:R:3 pbc="T T T"
Ca 0.000 0.000 0.000
Ca 0.000 3.686 3.686
Ca 3.686 0.000 3.686
Ca 3.686 3.686 0.000
Ac 0.000 0.000 3.686
Ac 0.000 3.686 0.000
Ac 3.686 0.000 0.000
Ac 3.686 3.686 3.686
Ge 1.843 1.843 5.529
Ge 1.843 5.529 1.843
Ge 5.529 1.843 1.843
Ge 5.529 5.529 5.529
Ir 1.843 1.843 1.843
Ir 1.843 5.529 5.529
Ir 5.529 1.843 5.529
Ir 5.529 5.529 1.843
```

Values from the calculation:
The total magnetization is 0.00 μB per formula unit. The calculated density is 8.82 g/cm³.

Q: Which of them is the most stable? A: (w).

(w)
Density functional theory data (PBE) for CaAcGePd after structural relaxation.

```
8
Lattice="4.359 0.000 0.000 0.000 4.373 0.000 0.000 0.000 11.411" Properties=species:S:1:pos:R:3 pbc="T T T"
Ca 0.000 0.000 0.000
Ca 0.000 2.186 5.706
Ac 2.179 0.000 3.168
Ac 2.179 2.186 8.874
Ge 2.179 0.000 6.418
Ge 2.179 2.186 0.713
Pd 0.000 0.000 8.012
Pd 0.000 2.186 2.306
```

Values from the calculation:
The total magnetization is 0.00 μB per formula unit. The calculated density is 6.81 g/cm³.

(x)
Density functional theory data (PBE) for CaAcGePd after structural relaxation.

```
16
Lattice="7.484 0.000 0.000 0.000 7.484 0.000 0.000 0.000 7.484" Properties=species:S:1:pos:R:3 pbc="T T T"
Ca 0.000 0.000 0.000
Ca 0.000 3.742 3.742
Ca 3.742 0.000 3.742
Ca 3.742 3.742 0.000
Ac 0.000 0.000 3.742
Ac 0.000 3.742 0.000
Ac 3.742 0.000 0.000
Ac 3.742 3.742 3.742
Ge 1.871 1.871 1.871
Ge 1.871 5.613 5.613
Ge 5.613 1.871 5.613
Ge 5.613 5.613 1.871
Pd 1.871 1.871 5.613
Pd 1.871 5.613 1.871
Pd 5.613 1.871 1.871
Pd 5.613 5.613 5.613
```

Values from the calculation:
The total magnetization is 0.00 μB per formula unit. The calculated density is 7.07 g/cm³.

Q: Which of them is the most stable? A: (w).